Entry from Alexandria via LeMat-Bulk: a relaxed TlAg2MoO4 crystal (PBE+U).

Summary:
As for the calculated total energy: -5.19 eV/atom. As for the crystal system: tetragonal. Its size of the total moment is 1.976 Bohr magnetons per cell.

Cell: 5.9890 5.9890 7.8662 Å, 90.00 90.00 90.00°
With the nearest neighbours (Å) after each atom.
Space group I-42m (No. 121)
Unique sites:
Tl: 0.0000 0.0000 0.0000 x2  8 O 2.96-3.18
Ag: 0.0000 0.5000 0.2500 x4  4 O 2.36
Mo: 0.0000 0.0000 0.5000 x2  4 O 1.88
O: 0.1766 0.1766 0.6440 x8  1 Mo 1.88